*a*
# ZnPRhO2 | Alexandria via LeMat-Bulk | PBE | optimized geometry
# Calculated density = 4.908 Mg/m³
# Magnetization = 1.838 μB per formula unit
data_ZnPRhO2
_chemical_formula_sum 'Zn1 P1 Rh1 O2'
_space_group_name_H-M_alt 'P 4/m m m'
_space_group_IT_number 123
_space_group_name_Hall '-P 4 2'
_cell_length_a 3.588
_cell_length_b 3.588
_cell_length_c 6.078
_cell_angle_alpha 90.00
_cell_angle_beta 90.00
_cell_angle_gamma 90.00
loop_
_atom_site_label
_atom_site_fract_x
_atom_site_fract_y
_atom_site_fract_z
_atom_site_occupancy
Zn1 0.000 0.000 0.000 1
P1 0.000 0.000 0.500 1
Rh1 0.500 0.500 0.500 1
O1 0.000 0.500 0.000 1

***

*b*
# ZnPRhO2 | Alexandria via LeMat-Bulk | PBE | optimized geometry
# Calculated density = 5.174 Mg/m³
# Magnetization = 0.000 μB per formula unit
data_ZnPRhO2
_chemical_formula_sum 'Zn1 P1 Rh1 O2'
_space_group_name_H-M_alt 'P 4/m m m'
_space_group_IT_number 123
_space_group_name_Hall '-P 4 2'
_cell_length_a 3.756
_cell_length_b 3.756
_cell_length_c 5.262
_cell_angle_alpha 90.00
_cell_angle_beta 90.00
_cell_angle_gamma 90.00
loop_
_atom_site_label
_atom_site_fract_x
_atom_site_fract_y
_atom_site_fract_z
_atom_site_occupancy
Zn1 0.000 0.000 0.000 1
P1 0.500 0.500 0.000 1
Rh1 0.500 0.500 0.500 1
O1 0.000 0.500 0.500 1

***

Energy above the most stable structure, in kJ/mol of atoms: *a* 39.8; *b* 0.0

***

*a*
# P3RuO9 | Alexandria via LeMat-Bulk | PBE | optimized geometry
# Calculated density = 3.330 Mg/m³
# Magnetization = 1.006 μB per formula unit
data_P3RuO9
_chemical_formula_sum 'P12 Ru4 O36'
_space_group_name_H-M_alt 'C 1 2/c 1'
_space_group_IT_number 15
_cell_length_a 13.375
_cell_length_b 6.579
_cell_length_c 9.551
_cell_angle_alpha 90.00
_cell_angle_beta 126.66
_cell_angle_gamma 90.00
loop_
_space_group_symop_operation_xyz
'x,y,z'
'-x,-y,-z'
'-x,y,-z+1/2'
'x,-y,z+1/2'
'x+1/2,y+1/2,z'
'-x+1/2,-y+1/2,-z'
'-x+1/2,y+1/2,-z+1/2'
'x+1/2,-y+1/2,z+1/2'
loop_
_atom_site_label
_atom_site_fract_x
_atom_site_fract_y
_atom_site_fract_z
_atom_site_occupancy
P1 0.000 0.051 0.250 1
P2 0.113 0.406 0.179 1
Ru1 0.250 0.250 0.000 1
O1 0.000 0.500 0.000 1
O2 0.056 0.193 0.177 1
O3 0.101 0.066 0.908 1
O4 0.137 0.474 0.830 1
O5 0.224 0.371 0.177 1

***

*b*
# P3RuO9 | Alexandria via LeMat-Bulk | PBE | optimized geometry
# Calculated density = 2.931 Mg/m³
# Magnetization = 1.004 μB per formula unit
data_P3RuO9
_chemical_formula_sum 'P6 Ru2 O18'
_space_group_name_H-M_alt 'P -1'
_space_group_IT_number 2
_cell_length_a 5.154
_cell_length_b 7.151
_cell_length_c 10.519
_cell_angle_alpha 98.45
_cell_angle_beta 91.94
_cell_angle_gamma 91.84
loop_
_space_group_symop_operation_xyz
'x,y,z'
'-x,-y,-z'
loop_
_atom_site_label
_atom_site_fract_x
_atom_site_fract_y
_atom_site_fract_z
_atom_site_occupancy
P1 0.001 0.344 0.144 1
P2 0.020 0.947 0.677 1
P3 0.261 0.698 0.268 1
Ru1 0.500 0.000 0.500 1
Ru2 0.500 0.500 0.000 1
O1 0.021 0.837 0.265 1
O2 0.042 0.151 0.199 1
O3 0.112 0.497 0.264 1
O4 0.167 0.342 0.029 1
O5 0.173 0.123 0.432 1
O6 0.288 0.634 0.874 1
O7 0.305 0.923 0.652 1
O8 0.408 0.739 0.396 1
O9 0.412 0.705 0.148 1

***

Energy above the most stable structure, in kJ/mol of atoms: *a* 2.1; *b* 0.0

***

*a*
# P2RuO2 | Alexandria via LeMat-Bulk | PBE | optimized geometry
# Calculated density = 4.409 Mg/m³
# Magnetization = 1.456 μB per formula unit
data_P2RuO2
_chemical_formula_sum 'P2 Ru1 O2'
_space_group_name_H-M_alt 'P 4/m m m'
_space_group_IT_number 123
_space_group_name_Hall '-P 4 2'
_cell_length_a 3.697
_cell_length_b 3.697
_cell_length_c 5.373
_cell_angle_alpha 90.00
_cell_angle_beta 90.00
_cell_angle_gamma 90.00
loop_
_atom_site_label
_atom_site_fract_x
_atom_site_fract_y
_atom_site_fract_z
_atom_site_occupancy
P1 0.000 0.000 0.000 1
P2 0.500 0.500 0.000 1
Ru1 0.000 0.000 0.500 1
O1 0.000 0.500 0.500 1

***

*b*
# P2RuO2 | Alexandria via LeMat-Bulk | PBE | optimized geometry
# Calculated density = 5.572 Mg/m³
# Magnetization = 0.000 μB per formula unit
data_P2RuO2
_chemical_formula_sum 'P2 Ru1 O2'
_space_group_name_H-M_alt 'P 4/m m m'
_space_group_IT_number 123
_space_group_name_Hall '-P 4 2'
_cell_length_a 3.840
_cell_length_b 3.840
_cell_length_c 3.942
_cell_angle_alpha 90.00
_cell_angle_beta 90.00
_cell_angle_gamma 90.00
loop_
_atom_site_label
_atom_site_fract_x
_atom_site_fract_y
_atom_site_fract_z
_atom_site_occupancy
P1 0.000 0.500 0.000 1
Ru1 0.000 0.000 0.500 1
O1 0.500 0.500 0.000 1
O2 0.500 0.500 0.500 1

***

Energy above the most stable structure, in kJ/mol of atoms: *a* 0.0; *b* 70.8

***

*a*
# P2RuO2 | Alexandria via LeMat-Bulk | PBE | optimized geometry
# Calculated density = 4.371 Mg/m³
# Magnetization = 0.398 μB per formula unit
data_P2RuO2
_chemical_formula_sum 'P2 Ru1 O2'
_space_group_name_H-M_alt 'P 4/m m m'
_space_group_IT_number 123
_space_group_name_Hall '-P 4 2'
_cell_length_a 3.303
_cell_length_b 3.303
_cell_length_c 6.790
_cell_angle_alpha 90.00
_cell_angle_beta 90.00
_cell_angle_gamma 90.00
loop_
_atom_site_label
_atom_site_fract_x
_atom_site_fract_y
_atom_site_fract_z
_atom_site_occupancy
P1 0.000 0.000 0.000 1
P2 0.000 0.000 0.500 1
Ru1 0.500 0.500 0.000 1
O1 0.000 0.500 0.500 1

***

*b*
# P2RuO2 | Alexandria via LeMat-Bulk | PBE | optimized geometry
# Calculated density = 4.175 Mg/m³
# Magnetization = 0.000 μB per formula unit
data_P2RuO2
_chemical_formula_sum 'P2 Ru1 O2'
_space_group_name_H-M_alt 'P 4/m m m'
_space_group_IT_number 123
_space_group_name_Hall '-P 4 2'
_cell_length_a 4.603
_cell_length_b 4.603
_cell_length_c 3.661
_cell_angle_alpha 90.00
_cell_angle_beta 90.00
_cell_angle_gamma 90.00
loop_
_atom_site_label
_atom_site_fract_x
_atom_site_fract_y
_atom_site_fract_z
_atom_site_occupancy
P1 0.000 0.500 0.000 1
Ru1 0.000 0.000 0.000 1
O1 0.000 0.000 0.500 1
O2 0.500 0.500 0.500 1

***

Energy above the most stable structure, in kJ/mol of atoms: *a* 0.0; *b* 65.1

***

*a*
# ScP2RuO | Alexandria via LeMat-Bulk | PBE | optimized geometry
# Calculated density = 4.400 Mg/m³
# Magnetization = 0.367 μB per formula unit
data_ScP2RuO
_chemical_formula_sum 'Sc1 P2 Ru1 O1'
_space_group_name_H-M_alt 'P 4/m m m'
_space_group_IT_number 123
_space_group_name_Hall '-P 4 2'
_cell_length_a 4.802
_cell_length_b 4.802
_cell_length_c 3.666
_cell_angle_alpha 90.00
_cell_angle_beta 90.00
_cell_angle_gamma 90.00
loop_
_atom_site_label
_atom_site_fract_x
_atom_site_fract_y
_atom_site_fract_z
_atom_site_occupancy
Sc1 0.000 0.000 0.000 1
P1 0.000 0.500 0.500 1
Ru1 0.500 0.500 0.500 1
O1 0.500 0.500 0.000 1

***

*b*
# ScP2RuO | Alexandria via LeMat-Bulk | PBE | optimized geometry
# Calculated density = 3.930 Mg/m³
# Magnetization = 1.832 μB per formula unit
data_ScP2RuO
_chemical_formula_sum 'Sc1 P2 Ru1 O1'
_space_group_name_H-M_alt 'P 4/m m m'
_space_group_IT_number 123
_space_group_name_Hall '-P 4 2'
_cell_length_a 5.011
_cell_length_b 5.011
_cell_length_c 3.769
_cell_angle_alpha 90.00
_cell_angle_beta 90.00
_cell_angle_gamma 90.00
loop_
_atom_site_label
_atom_site_fract_x
_atom_site_fract_y
_atom_site_fract_z
_atom_site_occupancy
Sc1 0.000 0.000 0.000 1
P1 0.000 0.500 0.000 1
Ru1 0.500 0.500 0.500 1
O1 0.000 0.000 0.500 1

***

Energy above the most stable structure, in kJ/mol of atoms: *a* 0.0; *b* 58.0

***

*a*
# ScPRuO2 | Alexandria via LeMat-Bulk | PBE | optimized geometry
# Calculated density = 4.700 Mg/m³
# Magnetization = 0.935 μB per formula unit
data_ScPRuO2
_chemical_formula_sum 'Sc1 P1 Ru1 O2'
_space_group_name_H-M_alt 'P 4/m m m'
_space_group_IT_number 123
_space_group_name_Hall '-P 4 2'
_cell_length_a 3.806
_cell_length_b 3.806
_cell_length_c 5.097
_cell_angle_alpha 90.00
_cell_angle_beta 90.00
_cell_angle_gamma 90.00
loop_
_atom_site_label
_atom_site_fract_x
_atom_site_fract_y
_atom_site_fract_z
_atom_site_occupancy
Sc1 0.000 0.000 0.000 1
P1 0.500 0.500 0.000 1
Ru1 0.500 0.500 0.500 1
O1 0.000 0.500 0.500 1

***

*b*
# ScPRuO2 | Alexandria via LeMat-Bulk | PBE | optimized geometry
# Calculated density = 3.983 Mg/m³
# Magnetization = 1.580 μB per formula unit
data_ScPRuO2
_chemical_formula_sum 'Sc1 P1 Ru1 O2'
_space_group_name_H-M_alt 'P 4/m m m'
_space_group_IT_number 123
_space_group_name_Hall '-P 4 2'
_cell_length_a 3.842
_cell_length_b 3.842
_cell_length_c 5.904
_cell_angle_alpha 90.00
_cell_angle_beta 90.00
_cell_angle_gamma 90.00
loop_
_atom_site_label
_atom_site_fract_x
_atom_site_fract_y
_atom_site_fract_z
_atom_site_occupancy
Sc1 0.000 0.000 0.000 1
P1 0.000 0.000 0.500 1
Ru1 0.500 0.500 0.500 1
O1 0.000 0.500 0.000 1

***

Energy above the most stable structure, in kJ/mol of atoms: *a* 0.0; *b* 37.7